[1]
This record from Alexandria via LeMat-Bulk describes LaMg2Co after structural relaxation. The functional is PBE-GGA.

As for the crystal system: monoclinic.

Structure (POSCAR):
```
LaMg2Co
1.0
5.146 0.005 -0.019
3.899 3.358 -0.019
2.663 0.990 5.666
Mg Co La
2 1 1
direct
0.004 0.004 0.918 Mg
0.795 0.795 0.666 Mg
0.528 0.528 0.611 Co
0.173 0.173 0.305 La
```


[2]
This record from Alexandria via LeMat-Bulk describes CoMo2 after structural relaxation. The functional is PBE-GGA.

As for the crystal system: hexagonal.

Structure (POSCAR):
```
CoMo2
1.0
2.138 -3.703 0.000
2.138 3.703 0.000
0.000 0.000 5.318
Mo Co
4 2
direct
0.333 0.667 0.750 Mo
0.667 0.333 0.250 Mo
0.000 0.000 0.000 Mo
0.000 0.000 0.500 Mo
0.333 0.667 0.250 Co
0.667 0.333 0.750 Co
```


[3]
This record from Alexandria via LeMat-Bulk describes Ac3Pm5O12 after structural relaxation. The functional is PBE-GGA.

As for the crystal system: cubic. For the formation energy without anion corrections, the calculation gives -3.27 eV per atom.

Structure (POSCAR):
```
Ac3Pm5O12
1.0
-8.861 -8.634 -0.496
9.453 -3.366 -7.255
3.968 1.176 11.670
O Pm Ac
48 20 12
direct
0.870 0.286 0.460 O
0.590 0.960 0.675 O
0.630 0.590 0.915 O
0.410 0.370 0.585 O
0.460 0.786 0.870 O
0.910 0.825 0.540 O
0.870 0.585 0.910 O
0.130 0.415 0.090 O
0.175 0.090 0.960 O
0.675 0.214 0.585 O
0.175 0.085 0.714 O
0.585 0.714 0.675 O
0.090 0.915 0.130 O
0.286 0.870 0.960 O
0.040 0.410 0.825 O
0.630 0.040 0.214 O
0.325 0.540 0.410 O
0.714 0.130 0.040 O
0.090 0.175 0.460 O
0.040 0.630 0.714 O
0.786 0.325 0.915 O
0.085 0.910 0.370 O
0.590 0.630 0.415 O
0.130 0.714 0.540 O
0.415 0.286 0.325 O
0.286 0.415 0.825 O
0.214 0.540 0.630 O
0.325 0.786 0.415 O
0.960 0.370 0.286 O
0.370 0.410 0.085 O
0.415 0.130 0.590 O
0.460 0.675 0.090 O
0.915 0.825 0.786 O
0.214 0.675 0.085 O
0.910 0.085 0.870 O
0.410 0.040 0.325 O
0.786 0.460 0.370 O
0.675 0.460 0.590 O
0.825 0.915 0.286 O
0.370 0.960 0.786 O
0.714 0.585 0.175 O
0.085 0.175 0.214 O
0.915 0.090 0.630 O
0.960 0.590 0.175 O
0.540 0.325 0.910 O
0.585 0.870 0.410 O
0.540 0.214 0.130 O
0.825 0.910 0.040 O
0.250 0.875 0.125 Pm
0.500 0.500 0.000 Pm
0.750 0.125 0.875 Pm
0.875 0.625 0.750 Pm
0.125 0.750 0.375 Pm
0.750 0.625 0.375 Pm
0.500 0.000 0.500 Pm
0.625 0.875 0.250 Pm
0.000 0.000 0.500 Pm
0.625 0.750 0.875 Pm
0.500 0.500 0.500 Pm
0.875 0.250 0.625 Pm
0.125 0.375 0.250 Pm
0.000 0.500 0.500 Pm
0.375 0.125 0.750 Pm
0.250 0.375 0.625 Pm
0.000 0.500 0.000 Pm
0.375 0.250 0.125 Pm
0.000 0.000 0.000 Pm
0.500 0.000 0.000 Pm
0.125 0.875 0.750 Ac
0.250 0.125 0.375 Ac
0.375 0.625 0.250 Ac
0.125 0.250 0.875 Ac
0.625 0.250 0.375 Ac
0.750 0.375 0.125 Ac
0.250 0.625 0.875 Ac
0.875 0.750 0.125 Ac
0.375 0.750 0.625 Ac
0.750 0.875 0.625 Ac
0.875 0.125 0.250 Ac
0.625 0.375 0.750 Ac
```


[4]
This record from Alexandria via LeMat-Bulk describes CsCdInI2 after structural relaxation. The functional is PBE-GGA.

As for the crystal system: tetragonal. For the formation energy without anion corrections, the calculation gives -0.68 eV per atom.

Structure (POSCAR):
```
CsCdInI2
1.0
-3.951 3.184 -4.161
4.113 -1.344 -4.934
-2.756 -4.736 -1.007
Cs I In Cd
1 2 1 1
direct
0.500 0.500 0.500 Cs
0.500 0.000 0.000 I
0.000 0.500 0.000 I
0.000 0.000 0.000 In
0.000 0.000 0.500 Cd
```


[5]
This record from Alexandria via LeMat-Bulk describes Ho2InFe2 after structural relaxation. The functional is PBE-GGA.

As for the crystal system: monoclinic.

Structure (POSCAR):
```
Ho2InFe2
1.0
4.115 0.000 0.000
0.000 3.742 0.002
0.000 -1.853 6.693
Ho Fe In
2 2 1
direct
0.500 0.639 0.276 Ho
0.500 0.361 0.724 Ho
0.000 0.212 0.424 Fe
0.000 0.788 0.576 Fe
0.000 0.000 0.000 In
```


[6]
This record from Alexandria via LeMat-Bulk describes ScNbSe2 after structural relaxation. The functional is PBE-GGA.

As for the crystal system: cubic. Its energy above the most stable polymorph in this dataset is 0 kJ/mol of formula units. For the formation energy without anion corrections, the calculation gives -0.93 eV per atom.

Structure (POSCAR):
```
ScNbSe2
1.0
1.787 -0.885 4.204
-2.606 -2.083 3.244
0.920 -4.383 1.262
Se Sc Nb
2 1 1
direct
0.750 0.750 0.750 Se
0.250 0.250 0.250 Se
0.000 0.000 0.000 Sc
0.500 0.500 0.500 Nb
```


[7]
This record from Alexandria via LeMat-Bulk describes PaTl2Au after structural relaxation. The functional is PBE-GGA.

As for the crystal system: trigonal.

Structure (POSCAR):
```
PaTl2Au
1.0
3.266 0.000 0.000
1.633 2.829 0.000
1.633 0.943 11.232
Au Pa Tl
1 1 2
direct
0.500 0.500 0.500 Au
0.000 0.000 0.000 Pa
0.095 0.095 0.714 Tl
0.905 0.905 0.286 Tl
```


[8]
This record from Alexandria via LeMat-Bulk describes TbBiO after structural relaxation. The functional is PBE-GGA.

As for the crystal system: monoclinic. Its energy above the most stable polymorph in this dataset is 0 kJ/mol of formula units. For the formation energy without anion corrections, the calculation gives -2.10 eV per atom.

Structure (POSCAR):
```
TbBiO
1.0
3.865 -0.183 -0.095
0.190 3.865 -0.097
-0.046 -0.033 9.427
Tb O Bi
2 2 2
direct
0.821 0.874 0.040 Tb
0.306 0.359 0.800 Tb
0.313 0.867 0.920 O
0.814 0.366 0.920 O
0.784 0.837 0.543 Bi
0.343 0.396 0.296 Bi
```


The records above give, respectively, total magnetization values of 0.00 0.00 0.00 0.00 0.00 0.00 0.28 0.00 μB/f.u..
The records above give, respectively, total energy values of -3.765 -9.459 -8.047 -2.200 -5.972 -6.770 -4.085 -6.592 eV per atom.